[1]
DFT (PBE) results for a relaxed structure of LaBr4.

a b c (Å): 12.1652 12.1652 12.1652
angles (deg): 90.00 90.00 90.00
Space group Fd-3m (No. 227, origin choice 2)
Asymmetric unit:
La (0.1250, 0.1250, 0.1250)
Br (0.0082, 0.0082, 0.7418)

## Properties
E_form (uncorrected) ... -1.1740 eV/atom
Crystal system ... cubic
Mass density ... 3.38 g/cm³


[2]
DFT (PBE) results for a relaxed structure of LaBr3.

a b c (Å): 6.0553 6.0553 6.0553
angles (deg): 90.00 90.00 90.00
Space group Pm-3n (No. 223)
Asymmetric unit:
La (0.0000, 0.0000, 0.0000)
Br (0.0000, 0.2500, 0.5000)

## Properties
E_form (uncorrected) ... -1.5595 eV/atom
Crystal system ... cubic
Mass density ... 5.66 g/cm³


[3]
DFT (PBE) results for a relaxed structure of La2Br.

a b c (Å): 3.8430 14.5793 6.5161
angles (deg): 90.00 90.00 90.00
Space group Cmcm (No. 63)
Asymmetric unit:
La (0.0000, 0.0000, 0.0000)
La (0.0000, 0.3071, 0.2500)
Br (0.0000, 0.3665, 0.7500)

## Properties
E_form (uncorrected) ... -0.7710 eV/atom
Crystal system ... orthorhombic
Mass density ... 6.51 g/cm³


[4]
DFT (PBE) results for a relaxed structure of LaBr.

a b c (Å): 3.9729 13.8913 6.2684
angles (deg): 90.00 90.00 90.00
Space group Imm2 (No. 44)
Asymmetric unit:
La (0.0000, 0.0000, 0.0000)
La (0.0000, 0.3349, 0.8864)
Br (0.0000, 0.0000, 0.4970)
Br (0.0000, 0.3373, 0.3825)

## Properties
E_form (uncorrected) ... -1.2509 eV/atom
Crystal system ... orthorhombic
Mass density ... 6.30 g/cm³


[5]
DFT (PBE) results for a relaxed structure of La3Br.

a b c (Å): 3.6374 5.8038 6.0533
angles (deg): 90.00 90.00 90.00
Space group Pmm2 (No. 25)
Asymmetric unit:
La (0.0000, 0.0000, 0.0000)
La (0.0000, 0.5000, 0.4207)
La (0.5000, 0.5000, 0.9043)
Br (0.5000, 0.0000, 0.5469)

## Properties
E_form (uncorrected) ... -0.4064 eV/atom
Crystal system ... orthorhombic
Mass density ... 6.45 g/cm³


[6]
DFT (PBE) results for a relaxed structure of LaBr3.

a b c (Å): 5.2371 5.2371 20.0755
angles (deg): 90.00 90.00 90.00
Space group I-42d (No. 122)
Asymmetric unit:
La (0.0000, 0.0000, 0.0000)
Br (0.0000, 0.0000, 0.5000)
Br (0.1861, 0.2500, 0.1250)

## Properties
E_form (uncorrected) ... -1.4052 eV/atom
Crystal system ... tetragonal
Mass density ... 4.57 g/cm³


[7]
DFT (PBE) results for a relaxed structure of LaBr.

a b c (Å): 8.8807 8.8807 6.0388
angles (deg): 90.00 90.00 120.00
Space group P6_3/m (No. 176)
Asymmetric unit:
La (0.0351, 0.6382, 0.2500)
Br (0.0233, 0.7282, 0.7500)

## Properties
E_form (uncorrected) ... -1.1009 eV/atom
Crystal system ... hexagonal
Mass density ... 5.29 g/cm³


[8]
DFT (PBE) results for a relaxed structure of LaBr3.

a b c (Å): 4.5852 4.5852 26.8736
angles (deg): 90.00 90.00 120.00
Space group R-3m (No. 166, hexagonal axes)
Asymmetric unit:
La (0.0000, 0.0000, 0.0000)
Br (0.0000, 0.0000, 0.3869)
Br (0.0000, 0.0000, 0.5000)

## Properties
E_form (uncorrected) ... -1.2473 eV/atom
Crystal system ... trigonal
Mass density ... 3.85 g/cm³


[9]
DFT (PBE) results for a relaxed structure of LaBr5.

a b c (Å): 8.7350 8.7350 8.7350
angles (deg): 90.00 90.00 90.00
Space group F-43m (No. 216)
Asymmetric unit:
La (0.0000, 0.0000, 0.0000)
Br (0.1254, 0.1254, 0.3746)
Br (0.2500, 0.2500, 0.7500)

## Properties
E_form (uncorrected) ... -0.5783 eV/atom
Crystal system ... cubic
Mass density ... 5.37 g/cm³


[10]
DFT (PBE) results for a relaxed structure of LaBr.

a b c (Å): 3.7313 5.2449 12.6699
angles (deg): 90.00 90.00 90.00
Space group Imma (No. 74)
Asymmetric unit:
La (0.0000, 0.2500, 0.1160)
Br (0.0000, 0.2500, 0.5983)

## Properties
E_form (uncorrected) ... -1.0625 eV/atom
Crystal system ... orthorhombic
Mass density ... 5.86 g/cm³


[11]
DFT (PBE) results for a relaxed structure of LaBr.

a b c (Å): 6.8929 6.8929 6.8929
angles (deg): 90.00 90.00 90.00
Space group F-43m (No. 216)
Asymmetric unit:
La (0.0000, 0.0000, 0.0000)
Br (0.2500, 0.2500, 0.2500)

## Properties
E_form (uncorrected) ... -0.8317 eV/atom
Crystal system ... cubic
Mass density ... 4.44 g/cm³


[12]
DFT (PBE) results for a relaxed structure of LaBr3.

a b c (Å): 4.9277 4.9277 8.9066
angles (deg): 90.00 90.00 90.00
Space group I4/mmm (No. 139)
Asymmetric unit:
La (0.0000, 0.0000, 0.0000)
Br (0.0000, 0.0000, 0.5000)
Br (0.0000, 0.5000, 0.2500)

## Properties
E_form (uncorrected) ... -1.6004 eV/atom
Crystal system ... tetragonal
Mass density ... 5.81 g/cm³


[13]
DFT (PBE) results for a relaxed structure of LaBr.

a b c (Å): 9.2938 9.2938 5.9954
angles (deg): 90.00 90.00 90.00
Space group I4/m (No. 87)
Asymmetric unit:
La (0.0789, 0.3090, 0.0000)
Br (0.0941, 0.2598, 0.5000)

## Properties
E_form (uncorrected) ... -1.1642 eV/atom
Crystal system ... tetragonal
Mass density ... 5.61 g/cm³


[14]
DFT (PBE) results for a relaxed structure of La2Br.

a b c (Å): 3.6739 3.6739 14.5422
angles (deg): 90.00 90.00 90.00
Space group I4/mmm (No. 139)
Asymmetric unit:
La (0.0000, 0.0000, 0.1514)
Br (0.0000, 0.0000, 0.5000)

## Properties
E_form (uncorrected) ... -0.6746 eV/atom
Crystal system ... tetragonal
Mass density ... 6.05 g/cm³


[15]
DFT (PBE) results for a relaxed structure of LaBr3.

a b c (Å): 9.7599 9.7599 4.6682
angles (deg): 90.00 90.00 120.00
Space group R-3m (No. 166, hexagonal axes)
Asymmetric unit:
La (0.0000, 0.0000, 0.0000)
Br (0.0000, 0.5000, 0.0000)

## Properties
E_form (uncorrected) ... -1.2211 eV/atom
Crystal system ... trigonal
Mass density ... 4.90 g/cm³


[16]
DFT (PBE) results for a relaxed structure of LaBr.

a b c (Å): 4.1878 6.6650 10.6608
angles (deg): 90.00 90.00 90.00
Space group Cmme (No. 67)
Asymmetric unit:
La (0.0000, 0.2500, 0.1296)
Br (0.0000, 0.2500, 0.6751)

## Properties
E_form (uncorrected) ... -1.1536 eV/atom
Crystal system ... orthorhombic
Mass density ... 4.88 g/cm³


[17]
DFT (PBE) results for a relaxed structure of LaBr.

a b c (Å): 8.2220 9.1144 12.1918
angles (deg): 90.00 90.00 90.00
Space group Fddd (No. 70, origin choice 2)
Asymmetric unit:
La (0.1250, 0.3462, 0.1250)
Br (0.0932, 0.3750, 0.8750)

## Properties
E_form (uncorrected) ... -1.2346 eV/atom
Crystal system ... orthorhombic
Mass density ... 6.36 g/cm³


[18]
DFT (PBE) results for a relaxed structure of LaBr.

a b c (Å): 4.7673 4.7673 6.5632
angles (deg): 90.00 90.00 90.00
Space group P4/nmm (No. 129, origin choice 2)
Asymmetric unit:
La (0.2500, 0.2500, 0.1933)
Br (0.2500, 0.7500, 0.5000)

## Properties
E_form (uncorrected) ... -0.9440 eV/atom
Crystal system ... tetragonal
Mass density ... 4.87 g/cm³


[19]
DFT (PBE) results for a relaxed structure of LaBr.

a b c (Å): 4.1218 4.1218 31.8775
angles (deg): 90.00 90.00 120.00
Space group R-3m (No. 166, hexagonal axes)
Asymmetric unit:
La (0.0000, 0.0000, 0.1200)
Br (0.0000, 0.0000, 0.3925)

## Properties
E_form (uncorrected) ... -1.2519 eV/atom
Crystal system ... trigonal
Mass density ... 4.65 g/cm³


[20]
DFT (PBE) results for a relaxed structure of LaBr.

a b c (Å): 3.7890 3.7890 4.7360
angles (deg): 90.00 90.00 120.00
Space group P-6m2 (No. 187)
Asymmetric unit:
La (0.0000, 0.0000, 0.0000)
Br (0.3333, 0.6667, 0.5000)

## Properties
E_form (uncorrected) ... -1.2674 eV/atom
Crystal system ... hexagonal
Mass density ... 6.17 g/cm³